(1)
HoBeOs | PBE | optimized geometry

The energy above the most stable polymorph in this dataset comes out at 1052.2 meV/atom. The volume comes out at 62 Å³/f.u.

The structure belongs to space group F-43m (No. 216); the cell edges are 6.293, 6.293 and 6.293 Å and the angles 90.00°, 90.00° and 90.00°. The distinct sites, in fractional coordinates, are Ho at (0.000, 0.000, 0.000), Be at (0.250, 0.250, 0.750) and Os at (0.250, 0.250, 0.250).

***

(2)
HoBeOs | PBE | optimized geometry

The energy above the most stable polymorph in this dataset comes out at 0.0 meV/atom. The volume comes out at 52 Å³/f.u.

The structure belongs to space group F-43m (No. 216); the cell edges are 5.911, 5.911 and 5.911 Å and the angles 90.00°, 90.00° and 90.00°. The distinct sites, in fractional coordinates, are Ho at (0.000, 0.000, 0.000), Be at (0.250, 0.250, 0.250) and Os at (0.000, 0.000, 0.500).

***

(3)
HoBePd | PBE | optimized geometry

The energy above the most stable polymorph in this dataset comes out at 0.0 meV/atom. The volume comes out at 61 Å³/f.u.

The structure belongs to space group F-43m (No. 216); the cell edges are 6.260, 6.260 and 6.260 Å and the angles 90.00°, 90.00° and 90.00°. The distinct sites, in fractional coordinates, are Ho at (0.000, 0.000, 0.000), Be at (0.000, 0.000, 0.500) and Pd at (0.250, 0.250, 0.750).